(1)
Below is an optimized crystal structure of BeAlPb, with properties calculated at the PBE level.

POSCAR file:
```
BeAlPb
1.0
6.432 -0.039 0.039
5.574 3.001 -0.040
0.858 -0.108 3.039
Pb Be Al
1 1 1
direct
0.680 0.680 0.320 Pb
0.358 0.358 0.642 Be
0.962 0.962 0.038 Al
```

Results
DOS(E_F) = 1.23 states/eV/f.u.
E_form = 0.49 eV/atom
Total magnetic moment = 0.0 μB/cell
Relative energy among the computed polymorphs = 0.352 eV per atom



(2)
Below is an optimized crystal structure of Be2AlPb, with properties calculated at the PBE level.

POSCAR file:
```
Be2AlPb
1.0
-0.677 -2.954 -3.054
2.355 -2.785 -2.282
-0.596 -4.391 3.304
Be Al Pb
2 1 1
direct
0.484 0.484 0.605 Be
0.016 0.016 0.895 Be
0.750 0.750 0.750 Al
0.250 0.250 0.250 Pb
```

Results
DOS(E_F) = 1.15 states/eV/f.u.
E_form = 0.47 eV/atom
Total magnetic moment = 0.0 μB/cell
Relative energy among the computed polymorphs = 0.190 eV per atom



(3)
Below is an optimized crystal structure of BeAl2Pb, with properties calculated at the PBE level.

POSCAR file:
```
BeAl2Pb
1.0
4.645 0.000 0.000
0.000 4.645 0.000
2.322 2.322 7.965
Al Be Pb
4 2 2
direct
0.521 0.125 0.250 Al
0.875 0.771 0.750 Al
0.375 0.479 0.750 Al
0.229 0.625 0.250 Al
0.500 0.500 0.000 Be
0.250 0.750 0.500 Be
0.750 0.250 0.500 Pb
0.000 0.000 0.000 Pb
```

Results
DOS(E_F) = 0.42 states/eV/f.u.
E_form = 0.40 eV/atom
Total magnetic moment = 0.0 μB/cell
Relative energy among the computed polymorphs = 0.138 eV per atom



(4)
Below is an optimized crystal structure of Be2AlPb, with properties calculated at the PBE level.

POSCAR file:
```
Be2AlPb
1.0
0.000 3.237 3.237
3.237 0.000 3.237
3.237 3.237 0.000
Be Pb Al
2 1 1
direct
0.750 0.750 0.750 Be
0.250 0.250 0.250 Be
0.500 0.500 0.500 Pb
0.000 0.000 0.000 Al
```

Results
DOS(E_F) = 2.68 states/eV/f.u.
E_form = 0.74 eV/atom
Total magnetic moment = 0.0 μB/cell
Relative energy among the computed polymorphs = 0.465 eV per atom